RbSe6N2 PBE optimized geometry; N(E_F) = 0.534 states/eV per atom; mass density = 3.326 g/cm3; total DFT energy (no corrections) = -3.21 eV per atom; M_tot = 5.88 μB/cell; raw formation energy = 104 kJ/mol of atoms; volume = 293.2 Å³/cell
1.0
-2.405 6.502 -1.094
-5.422 0.793 -4.841
-6.101 1.950 3.527
Se Rb N
6 1 2
Direct
0.838 0.199 0.475
0.500 0.139 0.861
0.162 0.525 0.801
0.162 0.801 0.525
0.500 0.861 0.139
0.838 0.475 0.199
0.000 0.000 0.000
0.333 0.329 0.329
0.667 0.671 0.671

ZrCdGe2P PBE optimized geometry; energy of formation = 92.9 kJ/mol of atoms; N(E_F) = 0.833 states/eV per atom; mass density = 5.179 g/cm3; total DFT energy (no corrections) = -3.86 eV per atom; M_tot = 0.00 μB/cell; volume = 121.8 Å³/cell
1.0
-4.724 -1.635 -0.083
0.267 -0.527 -4.836
1.614 -4.694 0.601
Ge Cd Zr P
2 1 1 1
Direct
0.000 0.000 0.500
0.500 0.000 0.000
0.000 0.000 0.000
0.500 0.500 0.500
0.000 0.500 0.000